# Zr3CoTc, relaxed, DFT PBE-GGA
# DOS at the Fermi energy in states/eV per atom: 1.6297
# Energy above the lowest structure with this stoichiometry in eV/atom: 0.4149
# E_form in meV per atom: 902
# DFT total energy in eV per atom: -7.72
data_Zr3CoTc
_cell_length_a 4.944
_cell_length_b 4.944
_cell_length_c 4.944
_cell_angle_alpha 90.00
_cell_angle_beta 90.00
_cell_angle_gamma 90.00
_symmetry_space_group_name_H-M 'P m -3 m'
_symmetry_Int_Tables_number 221
_symmetry_space_group_name_Hall '-P 4 2 3'
loop_
_atom_site_label
_atom_site_type_symbol
_atom_site_fract_x
_atom_site_fract_y
_atom_site_fract_z
_atom_site_occupancy
Zr1 Zr 0.000 0.000 0.500 1
Co1 Co 0.500 0.500 0.500 1
Tc1 Tc 0.000 0.000 0.000 1